K2In5Hg: optimized geometry, PBE-GGA.

As for the density: 5.5 g/cm³. The electronic total energy comes out at -2.166 eV/atom.

The space group is Cmcm (No. 63) and the conventional cell measures 5.032, 18.940 and 10.726 Å, with angles of 90.00, 90.00 and 90.00 degrees. The distinct sites, in fractional coordinates, are K at (0.000, 0.000, 0.000), K at (0.000, 0.196, 0.250), In at (0.000, 0.190, 0.608), In at (0.000, 0.350, 0.527), In at (0.000, 0.400, 0.250) and Hg at (0.000, 0.445, 0.750).

***

K2InHg8: optimized geometry, PBE-GGA.

As for the density: 8.8 g/cm³. The electronic total energy comes out at -0.816 eV/atom.

The space group is P-1 (No. 2) and the conventional cell measures 5.313, 7.995 and 8.133 Å, with angles of 79.84, 88.39 and 88.49 degrees. The distinct sites, in fractional coordinates, are K at (0.239, 0.162, 0.162), In at (0.000, 0.500, 0.500), Hg at (0.248, 0.705, 0.144), Hg at (0.261, 0.151, 0.707), Hg at (0.266, 0.837, 0.530) and Hg at (0.276, 0.531, 0.830).

***

KIn2Hg5: optimized geometry, PBE-GGA.

As for the density: 9.1 g/cm³. The electronic total energy comes out at -1.082 eV/atom.

The space group is I4/mcm (No. 140) and the conventional cell measures 8.344, 8.344 and 13.316 Å, with angles of 90.00, 90.00 and 90.00 degrees. The distinct sites, in fractional coordinates, are K at (0.000, 0.000, 0.250), In at (0.164, 0.336, 0.000), Hg at (0.000, 0.000, 0.000) and Hg at (0.139, 0.361, 0.340).

***

no.,energy of formation from the pure elements (eV/atom)
1,-0.14
2,-0.15
3,-0.07